P | DFT (PBE-GGA) results for a relaxed structure of CaPmNdY.

Output
Fermi-level density of states, states/eV per cell: 6.2

Unit cell a=3.6877 b=3.6877 c=10.5009 alpha=90.00 beta=90.00 gamma=90.00
Closest atoms and distances in Å follow each position.
Fractional coordinates of all 4 atoms:
Ca 0.0000 0.0000 0.0000  4 Ca 3.69, 4 Y 3.78, 4 Nd 3.86
Pm 0.0000 0.0000 0.4929  4 Y 3.57, 4 Nd 3.60, 4 Pm 3.69
Nd 0.5000 0.5000 0.7295  4 Pm 3.60, 4 Nd 3.69, 4 Ca 3.86
Y 0.5000 0.5000 0.2612  4 Pm 3.57, 4 Y 3.69, 4 Ca 3.78

---

Q | DFT (PBE-GGA) results for a relaxed structure of CaPmNdY.

Output
Fermi-level density of states, states/eV per cell: 8.0

Unit cell a=5.8500 b=5.8500 c=5.8500 alpha=60.00 beta=60.00 gamma=60.00
Closest atoms and distances in Å follow each position.
Fractional coordinates of all 4 atoms:
Ca 0.0000 0.0000 0.0000  4 Nd 3.58, 4 Y 3.58
Pm 0.5000 0.5000 0.5000  4 Nd 3.58, 4 Y 3.58
Nd 0.2500 0.2500 0.2500  4 Ca 3.58, 4 Pm 3.58
Y 0.7500 0.7500 0.7500  4 Pm 3.58, 4 Ca 3.58

---

What should be chosen as the least stable of them? Choose Q.